1.
8
Lattice="-4.080 -0.824 0.488 1.938 -7.825 2.990 1.859 -5.404 6.423" Properties=species:S:1:pos:R:3 comment="SmGdCo2Ge4 (PBE, optimized geometry)" space_group="Amm2, No. 38" total_energy_ev_per_atom=-5.917 pbc="T T T"
Co 0.690 -2.404 1.711
Co 1.068 -11.241 7.950
Gd 1.483 -5.167 3.677
Ge 0.170 -0.594 0.422
Ge -1.090 -3.723 2.600
Ge 2.852 -9.935 7.069
Ge 1.584 -13.038 9.228
Sm 0.271 -8.463 5.973

2.
6
Lattice="-0.697 1.470 3.778 -1.843 -3.529 1.034 5.866 -2.466 2.042" Properties=species:S:1:pos:R:3 comment="SmGdCo2Ge2 (PBE, optimized geometry)" space_group="P4mm, No. 99" total_energy_ev_per_atom=-6.108 pbc="T T T"
Co 5.510 -1.728 3.928
Co 4.937 -4.227 2.556
Gd 4.055 -1.705 1.412
Ge 1.137 -0.478 0.396
Ge 3.442 -3.010 4.046
Sm 0.574 -1.805 3.048

3.
6
Lattice="3.989 0.000 0.000 0.000 3.989 0.000 0.000 0.000 7.577" Properties=species:S:1:pos:R:3 comment="Gd2TaCoGe2 (PBE, optimized geometry)" space_group="P-4m2, No. 115" total_energy_ev_per_atom=-6.778 pbc="T T T"
Co 0.000 0.000 0.000
Gd 0.000 1.995 2.604
Gd 1.995 0.000 4.974
Ge 1.995 0.000 1.724
Ge 0.000 1.995 5.853
Ta 1.995 1.995 0.000

4.
6
Lattice="4.093 0.000 0.000 0.000 4.093 0.000 0.000 0.000 6.623" Properties=species:S:1:pos:R:3 comment="GdYCo2Ge2 (PBE, optimized geometry)" space_group="P4mm, No. 99" total_energy_ev_per_atom=-6.417 pbc="T T T"
Co 2.046 0.000 0.000
Co 0.000 2.046 0.000
Gd 0.000 0.000 4.543
Ge 0.000 0.000 1.329
Ge 2.046 2.046 5.307
Y 2.046 2.046 2.065

5.
9
Lattice="8.010 0.000 0.000 -4.005 6.937 0.000 0.000 0.000 3.883" Properties=species:S:1:pos:R:3 comment="Gd3Hf3CoTe2 (PBE, optimized geometry)" space_group="P-62m, No. 189" polymorph_energy_mev_per_atom=0 total_energy_ev_per_atom=-6.977 pbc="T T T"
Co 0.000 0.000 0.000
Gd 4.828 0.000 0.000
Gd 1.591 2.755 0.000
Gd -2.414 4.181 0.000
Hf 1.770 0.000 1.941
Hf -0.885 1.533 1.941
Hf 3.120 5.404 1.941
Te 4.005 2.312 1.941
Te 0.000 4.625 1.941

6.
9
Lattice="8.189 0.000 0.000 -4.095 7.092 0.000 0.000 0.000 3.622" Properties=species:S:1:pos:R:3 comment="Gd3Hf3CoTe2 (PBE, optimized geometry)" space_group="P-62m, No. 189" polymorph_energy_mev_per_atom=295 total_energy_ev_per_atom=-6.682 pbc="T T T"
Co 0.000 0.000 0.000
Gd 2.006 0.000 1.811
Gd -1.003 1.737 1.811
Gd 3.092 5.355 1.811
Hf 4.871 0.000 0.000
Hf 1.659 2.874 0.000
Hf -2.435 4.218 0.000
Te 4.095 2.364 1.811
Te 0.000 4.728 1.811

7.
5
Lattice="-2.011 2.011 9.031 2.011 -2.011 9.031 2.011 2.011 -9.031" Properties=species:S:1:pos:R:3 comment="Gd2Ho2Co (PBE, optimized geometry)" space_group="I4/mmm, No. 139" total_energy_ev_per_atom=-4.456 e_form_ev_per_atom=0.66 pbc="T T T"
Co 0.000 0.000 9.031
Gd 0.000 0.000 1.511
Gd 0.000 0.000 16.551
Ho 0.000 2.011 4.515
Ho 2.011 0.000 4.515

8.
6
Lattice="0.000 3.572 3.572 3.572 0.000 3.572 3.572 3.572 0.000" Properties=species:S:1:pos:R:3 comment="GdHoCo4 (PBE, optimized geometry)" space_group="F-43m, No. 216" total_energy_ev_per_atom=-6.464 e_form_ev_per_atom=-0.19 pbc="T T T"
Co 2.681 2.681 4.464
Co 2.681 4.464 2.681
Co 4.464 2.681 2.681
Co 4.464 4.464 4.464
Gd 0.000 0.000 0.000
Ho 1.786 1.786 1.786

9.
5
Lattice="-1.650 -2.690 2.302 3.871 -5.099 -3.185 5.996 -3.888 -0.246" Properties=species:S:1:pos:R:3 comment="GdHoInCo2 (PBE, optimized geometry)" space_group="Amm2, No. 38" total_energy_ev_per_atom=-5.575 pbc="T T T"
Co 1.206 -3.195 0.445
Co 6.995 -8.468 -1.568
Gd 3.567 -3.249 -1.240
Ho 6.306 -5.744 -2.192
In -0.814 -1.355 1.147

10.
9
Lattice="-1.955 1.650 -2.790 1.369 -5.925 -4.464 -6.145 0.116 4.374" Properties=species:S:1:pos:R:3 comment="GdHo2CoSn3Ir2 (PBE, optimized geometry)" space_group="Amm2, No. 38" total_energy_ev_per_atom=-6.371 pbc="T T T"
Co -4.772 -5.804 -0.090
Gd -1.946 -2.367 -0.037
Ho -2.277 -5.856 -1.869
Ho -5.332 -3.399 1.726
Ir -2.104 -3.101 -2.928
Ir -4.634 -1.067 0.048
Sn -1.161 -5.064 -4.750
Sn -4.551 -3.521 -1.462
Sn -6.770 -0.554 1.848

11.
5
Lattice="3.836 0.000 0.000 0.000 1.941 9.177 0.000 -1.941 9.177" Properties=species:S:1:pos:R:3 comment="KGdHoCo2 (PBE, optimized geometry)" space_group="Amm2, No. 38" total_energy_ev_per_atom=-4.877 pbc="T T T"
Co 1.918 0.000 4.029
Co 1.918 0.000 14.273
Gd 0.000 0.000 6.080
Ho 0.000 0.000 12.288
K 1.918 0.000 0.038

12.
9
Lattice="-3.955 -1.043 -0.112 0.062 -1.144 8.498 -1.932 7.678 -3.292" Properties=species:S:1:pos:R:3 comment="La3GdHo2CoTe2 (PBE, optimized geometry)" space_group="Amm2, No. 38" total_energy_ev_per_atom=-5.391 pbc="T T T"
Co -1.863 6.510 5.186
Gd -2.406 0.977 1.138
Ho -3.407 4.263 5.899
Ho -3.862 6.273 3.213
La 0.025 -0.461 3.432
La -0.780 3.101 -1.328
La -1.117 3.903 3.109
Te -2.581 1.276 4.521
Te -3.247 4.224 0.580

13.
7
Lattice="-0.293 4.734 3.083 -0.895 1.743 5.307 5.631 -2.929 -2.416" Properties=species:S:1:pos:R:3 comment="GdHoCo2Si2N (PBE, optimized geometry)" space_group="Cm, No. 8" total_energy_ev_per_atom=-6.945 pbc="T T T"
Co 0.282 1.054 1.494
Co 4.167 2.490 4.478
Gd 0.941 2.799 4.020
Ho 3.515 0.748 1.958
N 4.406 3.554 5.974
Si 0.694 4.602 6.379
Si 3.766 -1.058 -0.404

14.
9
Lattice="3.843 0.000 0.000 0.000 6.988 4.050 0.000 -6.988 4.050" Properties=species:S:1:pos:R:3 comment="Nd3Gd2HoCoS2 (PBE, optimized geometry)" space_group="Amm2, No. 38" total_energy_ev_per_atom=-5.629 pbc="T T T"
Co 0.000 0.000 0.044
Gd 1.921 1.694 7.117
Gd 1.921 -1.694 7.117
Ho 1.921 0.000 1.959
Nd 0.000 4.048 5.752
Nd 0.000 0.000 4.685
Nd 0.000 -4.048 5.752
S 1.921 2.317 4.039
S 1.921 -2.317 4.039

15.
9
Lattice="4.025 0.000 0.000 0.000 7.401 4.272 0.000 -7.401 4.272" Properties=species:S:1:pos:R:3 comment="Pr3Gd2HoCoTe2 (PBE, optimized geometry)" space_group="Amm2, No. 38" total_energy_ev_per_atom=-5.327 pbc="T T T"
Co 0.000 0.000 8.536
Gd 2.012 5.678 5.265
Gd 2.012 -5.678 5.265
Ho 2.012 0.000 6.559
Pr 0.000 4.410 2.545
Pr 0.000 0.000 3.456
Pr 0.000 -4.410 2.545
Te 2.012 2.464 4.274
Te 2.012 -2.464 4.274

16.
9
Lattice="-2.360 2.883 1.241 -6.153 -5.550 1.191 5.384 1.754 6.166" Properties=species:S:1:pos:R:3 comment="Gd2Ho4CoTe2 (PBE, optimized geometry)" space_group="Amm2, No. 38" total_energy_ev_per_atom=-5.239 pbc="T T T"
Co -0.009 -0.046 0.089
Gd -3.679 -3.320 0.716
Gd 3.218 1.046 3.690
Ho -6.062 -3.686 3.247
Ho -0.303 -1.495 2.898
Ho -1.769 -1.467 6.256
Ho 2.755 1.896 7.050
Te -3.468 -1.659 3.473
Te 0.340 0.752 5.115

17.
9
Lattice="-0.676 -1.645 2.717 3.417 -7.952 -3.966 5.761 5.764 4.923" Properties=species:S:1:pos:R:3 comment="Gd2YHo3CoTe2 (PBE, optimized geometry)" space_group="Amm2, No. 38" total_energy_ev_per_atom=-4.502 pbc="T T T"
Co 9.086 -2.167 0.947
Gd 1.174 -2.704 -1.345
Gd 1.970 1.954 1.673
Ho 2.372 -5.494 -2.737
Ho 2.833 -0.676 0.295
Ho 3.991 3.976 3.400
Te 4.217 -3.383 -1.000
Te 4.998 1.186 1.961
Y 6.070 -1.448 0.633

18.
9
Lattice="3.225 0.000 0.000 0.000 8.220 4.781 0.000 -8.220 4.781" Properties=species:S:1:pos:R:3 comment="GdY2Ho3CoTe2 (PBE, optimized geometry)" space_group="Amm2, No. 38" total_energy_ev_per_atom=-4.701 pbc="T T T"
Co 1.613 0.000 9.515
Gd 1.613 0.000 3.258
Ho 1.613 2.581 1.515
Ho 1.613 -2.581 1.515
Ho 1.613 0.000 6.528
Te 1.613 2.748 4.794
Te 1.613 -2.748 4.794
Y 1.613 5.432 3.164
Y 1.613 -5.432 3.164

19.
5
Lattice="-2.040 2.734 4.089 2.040 -2.734 4.089 2.040 2.734 -4.089" Properties=species:S:1:pos:R:3 comment="GdHoZnCo2 (PBE, optimized geometry)" space_group="Imm2, No. 44" total_energy_ev_per_atom=-5.232 e_form_ev_per_atom=-0.29 pbc="T T T"
Co 0.000 1.581 4.081
Co 2.040 1.153 -0.007
Gd 0.000 0.000 1.706
Ho 0.000 0.000 6.477
Zn 0.000 2.734 0.009

20.
5
Lattice="3.951 0.000 0.000 -1.975 3.422 0.000 0.000 0.000 8.527" Properties=species:S:1:pos:R:3 comment="Gd2Co2I (PBE, optimized geometry)" space_group="P-6m2, No. 187" total_energy_ev_per_atom=-5.608 pbc="T T T"
Co 0.000 0.000 4.264
Co 0.000 2.281 4.264
Gd 1.975 1.141 2.483
Gd 1.975 1.141 6.044
I 0.000 2.281 0.000

21.
20
Lattice="8.962 -3.214 -2.302 1.198 7.778 5.832 -4.199 -6.986 5.433" Properties=species:S:1:pos:R:3 comment="Gd7CoI12 (PBE, optimized geometry)" space_group="R-3, No. 148" total_energy_ev_per_atom=-4.130 pbc="T T T"
Co 0.000 0.000 0.000
Gd 2.620 -0.359 -0.011
Gd 0.149 1.539 2.145
Gd -0.361 -2.157 1.486
Gd 2.981 -1.211 4.482
Gd 6.322 -0.264 7.478
Gd 5.813 -3.960 6.818
Gd 3.342 -2.062 8.974
I 6.036 -0.920 0.146
I 3.340 1.249 2.683
I 0.504 3.459 5.008
I 6.696 2.476 5.388
I 2.726 -2.940 1.961
I -0.051 -0.751 4.399
I 6.013 -1.670 4.565
I 3.236 0.519 7.003
I -0.734 -4.897 3.575
I 5.458 -5.880 3.955
I 2.622 -3.670 6.280
I -0.074 -1.502 8.817

22.
6
Lattice="3.965 0.000 0.000 -1.982 3.434 0.000 0.000 0.000 12.184" Properties=species:S:1:pos:R:3 comment="GdLuCo2I2 (PBE, optimized geometry)" space_group="P3m1, No. 156" total_energy_ev_per_atom=-5.200 pbc="T T T"
Co 0.000 2.289 12.093
Co 1.982 1.145 12.170
Gd 0.000 0.000 1.812
I 0.000 2.289 4.005
I 1.982 1.145 8.273
Lu 0.000 0.000 10.384

23.
6
Lattice="-3.717 0.999 1.059 0.624 -3.173 -2.340 0.916 -7.201 10.006" Properties=species:S:1:pos:R:3 comment="TbGdCo2I2 (PBE, optimized geometry)" space_group="P3m1, No. 156" total_energy_ev_per_atom=-5.221 pbc="T T T"
Co -2.267 -0.416 -0.040
Co 0.090 -8.957 8.762
Gd 0.136 -1.070 1.487
I -0.526 -4.119 2.039
I -1.651 -5.258 6.688
Tb 0.780 -6.132 8.520

24.
6
Lattice="-0.597 -2.824 -2.726 -1.047 -0.634 3.776 -11.096 4.572 -2.308" Properties=species:S:1:pos:R:3 comment="GdTmCo2I2 (PBE, optimized geometry)" space_group="P3m1, No. 156" total_energy_ev_per_atom=-5.196 pbc="T T T"
Co -0.747 -2.094 -0.558
Co -11.918 3.178 -0.684
Gd -1.651 0.680 -0.343
I -4.531 0.134 0.853
I -8.271 1.007 -2.124
Tm -9.457 3.897 -1.967

25.
9
Lattice="-0.102 -3.324 2.001 3.736 -3.467 -5.567 3.798 3.278 5.638" Properties=species:S:1:pos:R:3 comment="Gd3In2CoSnIr2 (PBE, optimized geometry)" space_group="Amm2, No. 38" total_energy_ev_per_atom=-5.995 pbc="T T T"
Co 0.067 -0.002 0.001
Gd 1.534 -1.419 -2.279
Gd 1.559 1.342 2.308
Gd 4.437 -0.111 0.042
In 6.539 -2.663 -0.326
In 6.554 -0.990 2.453
Ir 3.687 -2.869 -0.813
Ir 3.707 -0.643 2.885
Sn 1.797 -1.708 1.018